(1)
Computed, not measured: an optimized crystal structure of SiPCl2 at the PBE level of DFT.

Output
As for the space group: No. 166. The value obtained for the density of states at the Fermi level is 1.213 states/eV/cell.

Lattice parameters (Å, degrees): 9.2682 9.2682 9.2682 19.56 19.56 19.56
Last column: nearest neighbours and their distance in Å.
Fractional positions:
P (0.0000, 0.0000, 0.0000)  2 Cl 2.32
Si (0.5000, 0.5000, 0.5000)  6 Cl 2.88, 6 Si 3.15
Cl (0.9150, 0.9150, 0.9150)  1 P 2.32
Cl (0.0850, 0.0850, 0.0850)  1 P 2.32

***

(2)
Computed, not measured: an optimized crystal structure of SiP2Cl at the PBE level of DFT.

Output
As for the space group: No. 65. The value obtained for the density of states at the Fermi level is 1.134 states/eV/cell.

Lattice parameters (Å, degrees): 6.5423 6.5423 2.6678 90.00 90.00 139.20
Last column: nearest neighbours and their distance in Å.
Fractional positions:
Cl (0.0000, 0.5000, 0.5000)  2 Si 2.28
P (0.0000, 0.0000, 0.0000)  2 P 2.28
P (0.5000, 0.5000, 0.0000)  2 P 2.28
Si (0.5000, 0.0000, 0.5000)  2 Cl 2.28

***

(3)
Computed, not measured: an optimized crystal structure of SiP2Cl at the PBE level of DFT.

Output
As for the space group: No. 47. The value obtained for the density of states at the Fermi level is 1.178 states/eV/cell.

Lattice parameters (Å, degrees): 3.5677 3.4681 5.9966 90.00 90.00 90.00
Last column: nearest neighbours and their distance in Å.
Fractional positions:
Cl (0.0000, 0.5000, 0.5000)  4 Si 2.49
P (0.0000, 0.0000, 0.0000)  4 P 2.49
P (0.5000, 0.5000, 0.0000)  4 P 2.49
Si (0.5000, 0.0000, 0.5000)  4 Cl 2.49

***

(4)
Computed, not measured: an optimized crystal structure of SiPCl2 at the PBE level of DFT.

Output
As for the space group: No. 216. The value obtained for the density of states at the Fermi level is 4.963 states/eV/cell.

Lattice parameters (Å, degrees): 4.6446 4.6446 4.6446 120.03 120.03 89.95
Last column: nearest neighbours and their distance in Å.
Fractional positions:
Cl (0.0000, 0.0000, 0.0000)  4 Cl 2.84, 4 Si 2.84
Cl (0.2500, 0.7500, 0.5000)  4 Cl 2.84, 4 P 2.84
P (0.5000, 0.5000, 0.0000)  4 Si 2.84, 4 Cl 2.84
Si (0.7500, 0.2500, 0.5000)  4 Cl 2.84, 4 P 2.84

***

(5)
Computed, not measured: an optimized crystal structure of SiPCl2 at the PBE level of DFT.

Output
As for the space group: No. 2.

Lattice parameters (Å, degrees): 7.7124 9.6035 12.4376 68.49 59.53 61.48
Last column: nearest neighbours and their distance in Å.
Fractional positions:
P (0.8534, 0.5708, 0.5299)  1 P 1.90
P (0.1466, 0.4292, 0.4701)  1 P 1.90
P (0.9331, 0.0998, 0.1577)  1 Si 2.16, 1 Cl 2.20
P (0.0669, 0.9002, 0.8423)  1 Si 2.16, 1 Cl 2.20
Si (0.8995, 0.8292, 0.0421)  1 Cl 2.05, 1 P 2.16
Si (0.1005, 0.1708, 0.9579)  1 Cl 2.05, 1 P 2.16
Si (0.0204, 0.4527, 0.9172)  2 Cl 2.06-2.07
Si (0.9796, 0.5473, 0.0828)  2 Cl 2.06-2.07
Cl (0.5806, 0.9490, 0.1467)  1 Si 2.05
Cl (0.4194, 0.0510, 0.8533)  1 Si 2.05
Cl (0.0482, 0.8398, 0.1620)  1 P 2.20, 1 Si 2.35
Cl (0.9518, 0.1602, 0.8380)  1 P 2.20, 1 Si 2.35
Cl (0.7384, 0.5764, 0.8892)  1 Si 2.06
Cl (0.2616, 0.4236, 0.1108)  1 Si 2.06
Cl (0.2715, 0.5051, 0.7565)  1 Si 2.07
Cl (0.7285, 0.4949, 0.2435)  1 Si 2.07

***

(6)
Computed, not measured: an optimized crystal structure of SiPCl2 at the PBE level of DFT.

Output
As for the space group: No. 166. The value obtained for the density of states at the Fermi level is 1.438 states/eV/cell.

Lattice parameters (Å, degrees): 10.2566 10.2566 10.2566 19.52 19.52 19.52
Last column: nearest neighbours and their distance in Å.
Fractional positions:
Cl (0.0293, 0.0293, 0.0293)  3 Si 2.59
Cl (0.4707, 0.4707, 0.4707)  3 Si 2.59
P (0.2500, 0.2500, 0.2500)  6 P 3.48
Si (0.7500, 0.7500, 0.7500)  6 Cl 2.59

***

(7)
Computed, not measured: an optimized crystal structure of SiP2Cl at the PBE level of DFT.

Output
As for the space group: No. 65. The value obtained for the density of states at the Fermi level is 0.884 states/eV/cell.

Lattice parameters (Å, degrees): 3.3658 3.3658 7.2448 90.00 90.00 116.35
Last column: nearest neighbours and their distance in Å.
Fractional positions:
Cl (0.5000, 0.5000, 0.7500)  4 P 2.79
P (0.0000, 0.0000, 0.0466)  2 Si 2.31
P (0.0000, 0.0000, 0.4534)  2 Si 2.31
Si (0.5000, 0.5000, 0.2500)  4 P 2.31

***

(8)
Computed, not measured: an optimized crystal structure of SiP2Cl at the PBE level of DFT.

Output
As for the space group: No. 6. The value obtained for the density of states at the Fermi level is 1.802 states/eV/cell.

Lattice parameters (Å, degrees): 4.2912 3.7345 6.6016 69.95 90.00 90.00
Last column: nearest neighbours and their distance in Å.
Fractional positions:
Cl (0.5000, 0.7692, 0.6519)  1 P 2.07
P (0.0000, 0.0715, 0.1360)  2 Si 2.26-2.38
P (0.5000, 0.2016, 0.3548)  1 Cl 2.07
Si (0.0000, 0.4577, 0.3574)  4 P 2.26-2.38

***

Values for E_form (uncorrected), eV per atom, ordered as above
0.341, 0.531, 0.568, 0.588, -0.359, 0.450, 0.424, 0.234